1.
Ce2SmNiN4 | PBE | optimized geometry

Results
density: 7.80 g/cm3
VASP energy: -129.112 eV/cell
crystal system: orthorhombic

```
Ce2SmNiN4
1.0
-0.762 1.924 2.789
4.233 -3.915 1.695
8.243 7.613 -2.999
Ce Sm Ni N
4 2 2 8
Cartesian
7.432 2.062 0.608
1.099 0.621 2.034
4.281 3.560 0.876
10.614 5.001 -0.550
7.006 5.078 -1.589
4.707 0.544 3.073
8.454 4.638 1.273
3.259 0.984 0.211
3.071 -0.662 1.296
6.523 4.327 0.960
8.642 6.284 0.189
5.190 1.295 0.525
4.121 3.807 -1.500
0.000 0.000 0.000
9.634 3.063 0.519
2.079 2.559 0.965
```


2.
SrCe2NiN4 | PBE | optimized geometry

Results
density: 6.43 g/cm3
VASP energy: -120.537 eV/cell
crystal system: orthorhombic

```
SrCe2NiN4
1.0
-1.609 3.180 -0.397
-0.074 -1.313 5.975
10.474 5.466 1.330
Sr Ce Ni N
2 4 2 8
Cartesian
7.666 4.159 2.246
1.125 3.174 4.662
5.149 3.227 4.980
-0.481 1.954 1.404
3.643 4.106 1.928
9.272 5.379 5.503
6.470 5.873 4.624
2.322 1.460 2.283
0.712 0.748 3.105
5.166 5.065 3.432
8.080 6.585 3.803
3.626 2.269 3.475
5.237 2.733 0.665
0.000 0.000 0.000
7.152 4.322 5.625
1.639 3.012 1.283
```


3.
Ce2TaNiN5 | PBE | optimized geometry

Results
density: 8.94 g/cm3
VASP energy: -159.391 eV/cell
crystal system: orthorhombic

```
Ce2TaNiN5
1.0
3.279 0.000 0.000
-1.640 6.456 0.000
0.000 0.000 10.347
Ce Ta Ni N
4 2 2 10
Cartesian
1.640 4.640 8.350
0.000 1.336 7.081
0.000 1.815 3.177
1.640 5.120 1.907
1.640 3.865 5.312
0.000 2.591 0.139
1.640 0.294 9.880
0.000 6.162 4.707
0.000 4.727 10.304
1.640 2.282 9.099
0.000 6.293 8.019
0.000 3.632 6.729
1.640 5.796 5.830
1.640 1.729 5.131
0.000 4.173 3.926
1.640 0.163 2.846
1.640 2.824 1.556
0.000 0.659 0.657
```


4.
CeTcNiN3 | PBE | optimized geometry

Results
density: 8.02 g/cm3
VASP energy: -99.559 eV/cell
crystal system: monoclinic

```
CeTcNiN3
1.0
-2.052 2.625 0.152
-4.237 -3.126 -3.243
-1.300 -1.410 6.821
Ce Tc Ni N
2 2 2 6
Cartesian
-1.720 -0.336 0.868
-5.869 -1.575 2.861
-3.623 -1.710 -1.090
-3.967 -0.201 4.819
-1.774 -0.544 3.748
-5.815 -1.367 -0.019
-5.517 -1.026 -1.896
-2.072 -0.885 5.625
-4.263 -2.318 0.767
-3.326 0.407 2.962
-3.642 0.353 -0.380
-3.947 -2.264 4.109
```


5.
CeTcNi2N4 | PBE | optimized geometry

Results
density: 7.41 g/cm3
VASP energy: -64.335 eV/cell
crystal system: tetragonal

```
CeTcNi2N4
1.0
-3.061 -0.953 3.839
-0.818 -2.546 -4.227
4.768 -1.422 0.508
Ce Tc Ni N
1 1 2 4
Cartesian
0.000 0.000 0.000
1.975 -1.984 -1.860
-0.952 -2.741 -1.124
1.841 -2.179 1.243
2.361 -1.045 -0.254
0.056 -2.497 0.527
2.261 -3.858 -1.752
0.160 -1.488 -2.120
```


6.
CeThNiN3 | PBE | optimized geometry

Results
density: 8.67 g/cm3
VASP energy: -100.583 eV/cell
crystal system: monoclinic

```
CeThNiN3
1.0
3.456 0.000 0.000
0.000 7.281 0.946
0.000 -1.741 6.973
Ce Th Ni N
2 2 2 6
Cartesian
2.592 4.787 6.413
0.864 0.752 1.506
0.864 4.355 1.939
2.592 1.184 5.980
0.864 -0.233 4.090
2.592 5.772 3.829
0.864 5.141 4.549
2.592 6.167 1.768
2.592 2.695 1.358
2.592 0.399 3.370
0.864 2.844 6.561
0.864 -0.627 6.151
```


7.
CeTh2NiN4 | PBE | optimized geometry

Results
density: 9.75 g/cm3
VASP energy: -139.439 eV/cell
crystal system: orthorhombic

```
CeTh2NiN4
1.0
-0.075 2.796 -2.167
-5.459 -2.650 -0.342
-3.877 6.831 8.947
Ce Th Ni N
2 4 2 8
Cartesian
-4.087 4.854 6.404
-5.325 2.122 0.033
-6.235 2.919 3.981
-1.723 1.496 -0.899
-3.176 4.058 2.457
-7.689 5.480 7.336
-6.653 5.676 4.665
-2.758 1.300 1.773
-3.500 0.149 0.314
-4.925 5.088 3.847
-5.911 6.827 6.124
-4.487 1.888 2.591
-1.938 3.415 4.474
0.000 0.000 0.000
-7.979 3.968 5.395
-1.433 3.009 1.043
```


8.
CeU2NiN4 | PBE | optimized geometry

Results
density: 10.99 g/cm3
VASP energy: -154.045 eV/cell
crystal system: orthorhombic

```
CeU2NiN4
1.0
3.484 0.000 0.000
-1.742 5.605 0.000
0.000 0.000 11.309
Ce U Ni N
2 4 2 8
Cartesian
0.000 1.191 8.482
1.742 4.414 2.827
0.000 4.162 6.308
1.742 1.443 0.653
1.742 1.443 5.001
0.000 4.162 10.656
1.742 3.777 8.482
0.000 1.828 2.827
0.000 2.989 1.248
1.742 2.616 6.903
1.742 2.616 10.061
0.000 2.989 4.406
0.000 0.000 5.655
0.000 0.000 0.000
0.000 4.980 8.482
1.742 0.625 2.827
```


9.
Ce2UNiN4 | PBE | optimized geometry

Results
density: 10.08 g/cm3
VASP energy: -67.577 eV/cell
crystal system: tetragonal

```
Ce2UNiN4
1.0
-0.214 5.532 1.915
-4.144 2.229 2.058
1.108 1.486 4.789
Ce U Ni N
2 1 1 4
Cartesian
-1.518 1.858 3.424
-1.625 4.623 4.381
0.000 0.000 0.000
-0.107 2.766 0.957
-1.540 1.368 0.945
0.510 5.922 4.758
0.292 3.498 2.778
-2.725 3.990 2.196
```


10.
CeU2NiN5 | PBE | optimized geometry

Results
density: 11.11 g/cm3
VASP energy: -171.922 eV/cell
crystal system: tetragonal

```
CeU2NiN5
1.0
-4.289 -4.762 -0.021
4.757 -4.286 0.277
-0.420 4.667 5.288
Ce U Ni N
2 4 2 10
Cartesian
-0.093 0.072 2.708
0.141 -4.452 2.836
0.866 -2.222 0.089
-2.066 -3.893 0.032
2.534 -5.154 0.223
-0.398 -6.825 0.167
2.285 -2.071 2.846
-2.237 -2.309 2.697
-2.034 -5.427 1.503
-2.356 -0.835 3.938
2.082 1.046 4.041
-1.075 2.324 3.898
0.801 -2.113 4.080
1.123 -6.705 1.645
-0.753 -2.267 1.463
2.404 -3.545 1.606
0.234 -4.524 0.128
0.000 0.000 0.000
```


11.
Ce2UNiN5 | PBE | optimized geometry

Results
density: 9.01 g/cm3
VASP energy: -159.545 eV/cell
crystal system: orthorhombic

```
Ce2UNiN5
1.0
3.481 0.000 0.000
-1.740 6.512 0.000
0.000 0.000 10.525
Ce U Ni N
4 2 2 10
Cartesian
1.740 4.756 8.507
0.000 1.286 7.204
0.000 1.756 3.244
1.740 5.226 1.941
1.740 3.891 5.406
0.000 2.621 0.144
1.740 0.252 10.017
0.000 6.260 4.755
0.000 4.767 10.483
1.740 2.253 9.302
0.000 6.318 8.157
0.000 3.617 6.867
1.740 5.884 5.877
1.740 1.745 5.221
0.000 4.259 4.039
1.740 0.194 2.894
1.740 2.895 1.605
0.000 0.628 0.615
```


12.
CeZr2NiN4 | PBE | optimized geometry

Results
density: 7.31 g/cm3
VASP energy: -145.740 eV/cell
crystal system: orthorhombic

```
CeZr2NiN4
1.0
3.274 0.000 0.000
-1.637 5.454 0.000
0.000 0.000 11.128
Ce Zr Ni N
2 4 2 8
Cartesian
0.000 1.168 8.346
1.637 4.286 2.782
0.000 4.012 6.190
1.637 1.443 0.626
1.637 1.443 4.938
0.000 4.012 10.502
1.637 3.728 8.346
0.000 1.726 2.782
0.000 2.962 1.282
1.637 2.492 6.846
1.637 2.492 9.846
0.000 2.962 4.282
0.000 0.000 5.564
0.000 0.000 0.000
0.000 4.915 8.346
1.637 0.539 2.782
```


13.
Ce2NpN | PBE | optimized geometry

Results
density: 10.66 g/cm3
VASP energy: -34.582 eV/cell
crystal system: trigonal

```
Ce2NpN
1.0
3.346 0.000 0.000
1.673 2.898 0.000
1.673 0.966 8.534
Np Ce N
1 2 1
Cartesian
0.000 0.000 0.000
1.673 0.966 5.736
5.019 2.898 2.798
3.346 1.932 4.267
```


14.
Ce2NpN | PBE | optimized geometry

Results
density: 11.95 g/cm3
VASP energy: -31.873 eV/cell
crystal system: tetragonal

```
Ce2NpN
1.0
-0.640 -3.026 -0.096
4.273 -0.833 -2.212
2.137 -0.589 4.351
Np Ce N
1 2 1
Cartesian
2.885 -2.224 1.021
1.069 -0.295 2.175
2.136 -0.416 -1.106
-0.320 -1.513 -0.048
```


15.
CeNpN2 | PBE | optimized geometry

Results
density: 11.04 g/cm3
VASP energy: -39.835 eV/cell
crystal system: trigonal

```
CeNpN2
1.0
-1.102 -2.586 1.892
1.704 -0.910 2.784
-3.176 2.712 4.892
Ce Np N
1 1 2
Cartesian
-2.741 0.342 7.975
-1.301 -0.376 4.798
-2.305 1.711 4.032
-0.692 -0.140 2.440
```


16.
CeNpN | PBE | optimized geometry

Results
density: 12.03 g/cm3
VASP energy: -27.905 eV/cell
crystal system: tetragonal

```
CeNpN
1.0
-2.452 -1.675 0.418
1.126 -1.000 2.593
-1.957 5.895 1.390
Np Ce N
1 1 1
Cartesian
-1.004 -0.744 1.883
-1.708 2.971 1.888
-3.067 2.845 4.164
```


17.
Ce2NpN3 | PBE | optimized geometry

Results
density: 9.95 g/cm3
VASP energy: -57.933 eV/cell
crystal system: orthorhombic

```
Ce2NpN3
1.0
-1.917 -2.871 0.717
3.484 -1.520 3.228
-3.254 4.818 1.929
Ce Np N
2 1 3
Cartesian
0.915 0.118 2.920
-2.601 0.309 2.953
-0.958 -1.435 0.358
0.784 -2.196 1.972
-0.758 0.805 1.197
-0.928 -0.378 4.676
```


18.
Ce3NpN6 | PBE | optimized geometry

Results
density: 7.66 g/cm3
VASP energy: -187.860 eV/cell
crystal system: trigonal

```
Ce3NpN6
1.0
-2.310 -5.545 -3.297
4.824 -3.677 3.188
-4.417 -0.990 5.144
Ce Np N
6 2 12
Cartesian
1.428 -2.608 2.866
-2.746 -2.155 2.206
-1.578 -6.159 5.761
-0.324 -4.052 -0.726
0.843 -8.056 2.829
-3.330 -7.604 2.169
0.000 0.000 0.000
-0.951 -5.106 2.518
-0.993 -3.966 6.830
2.980 -3.968 4.293
-0.856 -3.127 3.380
-4.489 -2.769 3.904
0.753 -4.410 1.386
0.161 -6.120 4.068
-2.064 -4.091 0.967
-2.656 -5.802 3.649
2.586 -7.443 1.131
-1.047 -7.085 1.655
-4.882 -6.243 0.742
-0.910 -6.246 -1.795
```


19.
CeNpN | PBE | optimized geometry

Results
density: 12.79 g/cm3
VASP energy: -29.099 eV/cell
crystal system: trigonal

```
CeNpN
1.0
3.472 0.000 0.000
-1.736 3.007 0.000
0.000 0.000 4.865
Np Ce N
1 1 1
Cartesian
1.736 1.002 1.393
0.000 2.004 3.388
0.000 0.000 0.083
```


20.
CeNpN2 | PBE | optimized geometry

Results
density: 12.34 g/cm3
VASP energy: -38.247 eV/cell
crystal system: tetragonal

```
CeNpN2
1.0
3.004 0.000 0.000
0.000 3.004 0.000
0.000 0.000 6.043
Np Ce N
1 1 2
Cartesian
1.502 1.502 0.000
1.502 1.502 3.022
0.000 0.000 4.589
0.000 0.000 1.455
```


21.
CeNpN | PBE | optimized geometry

Results
density: 13.55 g/cm3
VASP energy: -59.314 eV/cell
crystal system: monoclinic

```
CeNpN
1.0
-1.385 -2.498 3.594
2.908 0.672 1.587
-2.544 5.030 2.532
N Np Ce
2 2 2
Cartesian
-2.473 1.320 5.771
1.452 1.883 1.942
-0.836 1.499 2.696
-0.186 1.704 5.017
-0.518 -1.085 3.207
-0.504 4.289 4.506
```